{"formula": "YGa2CuAu5", "functional": "PBE", "state": "optimized geometry", "vol_a3_per_atom": 20.0, "dos_ef_per_ev_fu": 2.3, "density_g_cm3": 11.77, "formation_energy_ev_per_atom": -0.1895, "space_group": "P4/mmm, No. 123", "lattice": [[4.843, 0.000, 0.000], [0.000, 4.843, 0.000], [0.000, 0.000, 7.679]], "species": ["Y", "Ga", "Ga", "Cu", "Au", "Au", "Au", "Au", "Au"], "frac_coords": [[0.000, 0.000, 0.000], [0.500, 0.500, 0.345], [0.500, 0.500, 0.655], [0.000, 0.000, 0.500], [0.000, 0.500, 0.244], [0.000, 0.500, 0.756], [0.500, 0.000, 0.244], [0.500, 0.000, 0.756], [0.500, 0.500, 0.000]]}